## A
A relaxed TlZnInNiAsPt crystal, computed with PBE-GGA.

Computed properties:
magnetic moment	0.00	μB/f.u.
space group	No. 6

a b c (Å): 3.098 3.161 11.761
angles (deg): 90.00 91.85 90.00
Element x y z (fractional)
Tl 0.000 0.000 0.000
Zn 0.356 0.500 0.483
In 0.395 0.500 0.766
Ni 0.842 0.000 0.352
As 0.330 0.500 0.255
Pt 0.871 0.000 0.608

## B
A relaxed TlZnInNiAsPt crystal, computed with PBE-GGA.

Computed properties:
magnetic moment	0.00	μB/f.u.
space group	No. 1

a b c (Å): 4.112 4.126 8.912
angles (deg): 90.24 103.27 119.68
Element x y z (fractional)
Tl 0.000 0.000 0.000
Zn 0.369 0.177 0.550
In 0.523 0.756 0.280
Ni 0.774 0.879 0.659
As 0.160 0.571 0.737
Pt 0.961 0.474 0.438

## C
A relaxed TlZnInNiAsPt crystal, computed with PBE-GGA.

Computed properties:
magnetic moment	0.00	μB/f.u.
space group	No. 1

a b c (Å): 4.167 5.411 5.590
angles (deg): 79.05 82.50 89.70
Element x y z (fractional)
Tl 0.000 0.000 0.000
Zn 0.443 0.743 0.382
In 0.552 0.550 0.881
Ni 0.097 0.406 0.677
As 0.466 0.210 0.427
Pt 0.990 0.477 0.218

Most stable structure - B; separation to the second - 15 meV/atom.

## A
A relaxed TlZnInNiAsPt crystal, computed with PBE-GGA.

Computed properties:
magnetic moment	0.00	μB/f.u.
space group	No. 1

a b c (Å): 3.454 5.081 7.510
angles (deg): 80.75 76.79 70.25
Element x y z (fractional)
Tl 0.000 0.000 0.000
Zn 0.779 0.871 0.574
In 0.594 0.477 0.335
Ni 0.046 0.284 0.631
As 0.365 0.498 0.781
Pt 0.325 0.038 0.313

## B
A relaxed TlZnInNiAsPt crystal, computed with PBE-GGA.

Computed properties:
magnetic moment	0.00	μB/f.u.
space group	No. 156

a b c (Å): 4.034 4.034 8.983
angles (deg): 90.00 90.00 120.00
Element x y z (fractional)
Tl 0.000 0.000 0.000
Zn 0.000 0.000 0.571
In 0.667 0.333 0.287
Ni 0.333 0.667 0.726
As 0.667 0.333 0.755
Pt 0.333 0.667 0.434

Most stable structure - B; separation to the second - 36 meV/atom.

## A
A relaxed InNiAs2Se crystal, computed with PBE-GGA.

Computed properties:
magnetic moment	0.83	μB/f.u.
space group	No. 123

a b c (Å): 5.177 5.177 5.252
angles (deg): 90.00 90.00 90.00
Element x y z (fractional)
In 0.000 0.000 0.000
Ni 0.500 0.500 0.500
As 0.000 0.500 0.000
As 0.500 0.000 0.000
Se 0.000 0.000 0.500

## B
A relaxed InNiAs2Se crystal, computed with PBE-GGA.

Computed properties:
magnetic moment	0.00	μB/f.u.
space group	No. 123

a b c (Å): 4.598 4.598 5.099
angles (deg): 90.00 90.00 90.00
Element x y z (fractional)
In 0.000 0.000 0.000
Ni 0.500 0.500 0.500
As 0.000 0.500 0.500
As 0.500 0.000 0.500
Se 0.500 0.500 0.000

Most stable structure - B; separation to the second - 1006 meV/atom.

## A
A relaxed NpInAs2 crystal, computed with PBE-GGA.

Computed properties:
magnetic moment	3.88	μB/f.u.
space group	No. 166

a b c (Å): 8.308 8.308 8.308
angles (deg): 30.40 30.40 30.40
Element x y z (fractional)
Np 0.000 0.000 0.000
In 0.500 0.500 0.500
As 0.392 0.392 0.392
As 0.608 0.608 0.608

## B
A relaxed NpInAs2 crystal, computed with PBE-GGA.

Computed properties:
magnetic moment	3.71	μB/f.u.
space group	No. 160

a b c (Å): 6.884 6.884 6.884
angles (deg): 35.74 35.74 35.74
Element x y z (fractional)
Np 0.000 0.000 0.000
In 0.828 0.828 0.828
As 0.412 0.412 0.412
As 0.593 0.593 0.593

Most stable structure - B; separation to the second - 263 meV/atom.